Below is an optimized crystal structure of Al2SnS5, with properties calculated at the GGA-PBE level.

Cell lengths 4.8870, 12.1288, 11.9325 Å; angles 90.00, 90.00, 90.00 degrees
Space group Cmcm (No. 63)
One atom of each set of equivalent atoms:
Al 0.0000 0.1455 0.0548 x8
Sn 0.0000 0.1938 0.7500 x4
S 0.0000 0.0441 0.6093 x8
S 0.0000 0.2288 0.2500 x4
S 0.0000 0.3145 0.5608 x8

Calculated values
As for the calculated total energy: -4.65 eV per atom. Its crystal system is orthorhombic.

***

Below is an optimized crystal structure of AlSn2S2, with properties calculated at the GGA-PBE level.

Cell lengths 7.8155, 7.8155, 3.9261 Å; angles 90.00, 90.00, 90.00 degrees
Space group P4/mbm (No. 127)
One atom of each set of equivalent atoms:
Al 0.0000 0.0000 0.0000 x2
Sn 0.1583 0.3417 0.0000 x4
S 0.1755 0.6755 0.5000 x4

Calculated values
As for the calculated total energy: -3.98 eV per atom. Its crystal system is tetragonal. The offset from the most stable computed form comes out at 0.0 kJ per mole of atoms.

***

Below is an optimized crystal structure of AlSnS, with properties calculated at the GGA-PBE level.

Cell lengths 3.4133, 3.4133, 7.3894 Å; angles 90.00, 90.00, 120.00 degrees
Space group P3m1 (No. 156)
One atom of each set of equivalent atoms:
Al 0.0000 0.0000 0.0000 x1
Sn 0.3333 0.6667 0.6641 x1
S 0.6667 0.3333 0.1600 x1

Calculated values
As for the calculated total energy: -4.34 eV per atom. Its crystal system is trigonal. The offset from the most stable computed form comes out at 9.1 kJ per mole of atoms.

***

Below is an optimized crystal structure of AlSnS2, with properties calculated at the GGA-PBE level.

Cell lengths 3.9384, 3.9384, 5.5968 Å; angles 90.00, 90.00, 90.00 degrees
Space group P4/mmm (No. 123)
One atom of each set of equivalent atoms:
Al 0.0000 0.0000 0.0000 x1
Sn 0.5000 0.5000 0.5000 x1
S 0.0000 0.0000 0.5000 x1
S 0.5000 0.5000 0.0000 x1

Calculated values
As for the calculated total energy: -4.33 eV per atom. Its crystal system is tetragonal.